Density functional theory data (PBE-GGA) for Pm3NdY2Tm6 after structural relaxation.

ΔE_f: 21.3 meV per atom
Density of states at the Fermi level: 30.26 states/eV/cell
Energy: -4.88 eV/atom
Magnetization: 0.000 μB per formula unit

```
data_Pm3NdY2Tm6
_space_group_name_H-M_alt 'C 1 2/m 1'
_space_group_IT_number 12
_cell_length_a 6.174
_cell_length_b 10.689
_cell_length_c 11.730
_cell_angle_alpha 90.00
_cell_angle_beta 100.06
_cell_angle_gamma 90.00
loop_
_space_group_symop_operation_xyz
'x,y,z'
'-x,-y,-z'
'-x,y,-z'
'x,-y,z'
'x+1/2,y+1/2,z'
'-x+1/2,-y+1/2,-z'
'-x+1/2,y+1/2,-z'
'x+1/2,-y+1/2,z'
loop_
_atom_site_label
_atom_site_type_symbol
_atom_site_fract_x
_atom_site_fract_y
_atom_site_fract_z
Pm1 Pm 0.000 0.000 0.000
Pm2 Pm 0.000 0.333 0.000
Nd1 Nd 0.000 0.500 0.500
Y1 Y 0.000 0.167 0.500
Tm1 Tm 0.250 0.000 0.749
Tm2 Tm 0.250 0.167 0.251
```